Run one
Entry from the Alexandria database: a geometry-optimized Li8MgCd2 structure (PBE-GGA).

Values from the calculation:
- DOS(E_F): 7.35 states/eV/cell
- Calculated density: 2.43 Mg/m³

abc: 7.502 14.396 5.034
angles: 90.00 129.93 90.00
Space group C2/m (No. 12)
Inequivalent atoms, fractional coordinates:
Li: 0.000 0.207 0.000 [4 per cell]
Li: 0.026 0.500 0.289 [4 per cell]
Li: 0.230 0.133 0.748 [8 per cell]
Mg: 0.000 0.000 0.000 [2 per cell]
Cd: 0.000 0.320 0.500 [4 per cell]

Run two
Entry from the Alexandria database: a geometry-optimized Li8MgCd2 structure (PBE-GGA).

Values from the calculation:
- DOS(E_F): 9.29 states/eV/cell
- Calculated density: 2.42 Mg/m³

abc: 13.836 4.798 7.352
angles: 90.00 121.23 90.00
Space group C2/m (No. 12)
Inequivalent atoms, fractional coordinates:
Li: 0.042 0.000 0.225 [4 per cell]
Li: 0.100 0.500 0.964 [4 per cell]
Li: 0.142 0.000 0.701 [4 per cell]
Li: 0.185 0.500 0.404 [4 per cell]
Mg: 0.000 0.500 0.500 [2 per cell]
Cd: 0.227 0.000 0.150 [4 per cell]

Order from most stable to least stable according to the calculation: run two, run one

Run one
Entry from the Alexandria database: a geometry-optimized Li6Mg2Cd structure (PBE-GGA).

Values from the calculation:
- DOS(E_F): 2.41 states/eV/cell
- Calculated density: 1.83 Mg/m³

abc: 8.5059 8.5059 2.9413
angles: 90.00 90.00 120.00
Space group P-31m (No. 162)
Inequivalent atoms, fractional coordinates:
Li: 0.0000 0.3323 0.3107 [6 per cell]
Mg: 0.3333 0.6667 0.0000 [2 per cell]
Cd: 0.0000 0.0000 0.5000 [1 per cell]

Run two
Entry from the Alexandria database: a geometry-optimized Li6Mg2Cd structure (PBE-GGA).

Values from the calculation:
- DOS(E_F): 12.78 states/eV/cell
- Calculated density: 1.93 Mg/m³

abc: 8.3023 8.3023 8.7807
angles: 90.00 90.00 120.00
Space group R-3m (No. 166, hexagonal axes)
Inequivalent atoms, fractional coordinates:
Li: 0.0000 0.3354 0.0000 [18 per cell]
Mg: 0.0000 0.0000 0.1695 [6 per cell]
Cd: 0.0000 0.0000 0.5000 [3 per cell]

Order from most stable to least stable according to the calculation: run two, run one

Run one
Entry from the Alexandria database: a geometry-optimized Li3Mg8Cd2 structure (PBE-GGA).

Values from the calculation:
- DOS(E_F): 12.82 states/eV/cell
- Calculated density: 2.39 Mg/m³

abc: 5.8491 5.8491 30.9387
angles: 90.00 90.00 120.00
Space group R-3m (No. 166, hexagonal axes)
Inequivalent atoms, fractional coordinates:
Li: 0.0000 0.0000 0.0000 [3 per cell]
Li: 0.0000 0.0000 0.1880 [6 per cell]
Mg: 0.0000 0.0000 0.2762 [6 per cell]
Mg: 0.0012 0.5006 0.2186 [18 per cell]
Cd: 0.0000 0.0000 0.3671 [6 per cell]

Run two
Entry from the Alexandria database: a geometry-optimized Li3Mg8Cd2 structure (PBE-GGA).

Values from the calculation:
- DOS(E_F): 6.56 states/eV/cell
- Calculated density: 2.56 Mg/m³

abc: 11.617 9.998 5.343
angles: 90.00 113.10 90.00
Space group C2/m (No. 12)
Inequivalent atoms, fractional coordinates:
Li: 0.000 0.000 0.000 [2 per cell]
Li: 0.000 0.255 0.500 [4 per cell]
Mg: 0.076 0.500 0.303 [4 per cell]
Mg: 0.142 0.000 0.565 [4 per cell]
Mg: 0.166 0.237 0.165 [8 per cell]
Cd: 0.194 0.500 0.879 [4 per cell]

Order from most stable to least stable according to the calculation: run two, run one

Run one
Entry from the Alexandria database: a geometry-optimized LiMg5Cd structure (PBE-GGA).

Values from the calculation:
- DOS(E_F): 11.99 states/eV/cell
- Calculated density: 2.50 Mg/m³

abc: 11.091 10.885 5.531
angles: 90.00 106.83 90.00
Space group C2/c (No. 15)
Inequivalent atoms, fractional coordinates:
Li: 0.000 0.063 0.250 [4 per cell]
Mg: 0.000 0.222 0.750 [4 per cell]
Mg: 0.145 0.304 0.319 [8 per cell]
Mg: 0.243 0.079 0.097 [8 per cell]
Cd: 0.000 0.500 0.000 [4 per cell]

Run two
Entry from the Alexandria database: a geometry-optimized LiMg5Cd structure (PBE-GGA).

Values from the calculation:
- DOS(E_F): 11.18 states/eV/cell
- Calculated density: 2.57 Mg/m³

abc: 13.155 8.344 5.755
angles: 90.00 100.05 90.00
Space group C2/c (No. 15)
Inequivalent atoms, fractional coordinates:
Li: 0.000 0.245 0.250 [4 per cell]
Mg: 0.000 0.113 0.750 [4 per cell]
Mg: 0.105 0.447 0.657 [8 per cell]
Mg: 0.188 0.094 0.514 [8 per cell]
Cd: 0.250 0.250 0.000 [4 per cell]

Order from most stable to least stable according to the calculation: run two, run one

Run one
Entry from the Alexandria database: a geometry-optimized Li4Mg5Cd2 structure (PBE-GGA).

Values from the calculation:
- DOS(E_F): 3.25 states/eV/cell
- Calculated density: 2.71 Mg/m³

abc: 3.062 7.985 10.272
angles: 67.75 81.48 90.00
Space group P-1 (No. 2)
Inequivalent atoms, fractional coordinates:
Li: 0.009 0.334 0.482 [2 per cell]
Li: 0.240 0.803 0.019 [2 per cell]
Mg: 0.129 0.965 0.240 [2 per cell]
Mg: 0.172 0.380 0.159 [2 per cell]
Mg: 0.500 0.000 0.500 [1 per cell]
Cd: 0.391 0.379 0.717 [2 per cell]

Run two
Entry from the Alexandria database: a geometry-optimized Li4Mg5Cd2 structure (PBE-GGA).

Values from the calculation:
- DOS(E_F): 7.06 states/eV/cell
- Calculated density: 2.64 Mg/m³

abc: 20.727 3.012 7.573
angles: 90.00 94.24 90.00
Space group C2/m (No. 12)
Inequivalent atoms, fractional coordinates:
Li: 0.043 0.000 0.364 [4 per cell]
Li: 0.173 0.500 0.477 [4 per cell]
Mg: 0.000 0.500 0.000 [2 per cell]
Mg: 0.136 0.000 0.112 [4 per cell]
Mg: 0.232 0.000 0.813 [4 per cell]
Cd: 0.090 0.000 0.727 [4 per cell]

Order from most stable to least stable according to the calculation: run one, run two

Run one
Entry from the Alexandria database: a geometry-optimized Li4MgCd7 structure (PBE-GGA).

Values from the calculation:
- DOS(E_F): 7.36 states/eV/cell
- Calculated density: 5.46 Mg/m³

abc: 13.742 5.194 7.974
angles: 90.00 116.36 90.00
Space group C2/m (No. 12)
Inequivalent atoms, fractional coordinates:
Li: 0.057 0.000 0.201 [4 per cell]
Li: 0.175 0.000 0.856 [4 per cell]
Mg: 0.000 0.500 0.500 [2 per cell]
Cd: 0.000 0.000 0.500 [2 per cell]
Cd: 0.088 0.500 0.945 [4 per cell]
Cd: 0.194 0.500 0.368 [4 per cell]
Cd: 0.235 0.500 0.762 [4 per cell]

Run two
Entry from the Alexandria database: a geometry-optimized Li4MgCd7 structure (PBE-GGA).

Values from the calculation:
- DOS(E_F): 4.34 states/eV/cell
- Calculated density: 5.90 Mg/m³

abc: 4.7893 4.7893 11.8782
angles: 90.00 90.00 120.00
Space group P-3m1 (No. 164)
Inequivalent atoms, fractional coordinates:
Li: 0.3333 0.6667 0.1580 [2 per cell]
Li: 0.3333 0.6667 0.4114 [2 per cell]
Mg: 0.0000 0.0000 0.0000 [1 per cell]
Cd: 0.0000 0.0000 0.2489 [2 per cell]
Cd: 0.0000 0.0000 0.5000 [1 per cell]
Cd: 0.3333 0.6667 0.6531 [2 per cell]
Cd: 0.3333 0.6667 0.9042 [2 per cell]

Order from most stable to least stable according to the calculation: run two, run one

Run one
Entry from the Alexandria database: a geometry-optimized Li3Mg2Cd structure (PBE-GGA).

Values from the calculation:
- DOS(E_F): 3.28 states/eV/cell
- Calculated density: 2.60 Mg/m³

abc: 5.5324 5.5324 8.7741
angles: 90.00 90.00 120.00
Space group P-3m1 (No. 164)
Inequivalent atoms, fractional coordinates:
Li: 0.1762 0.3523 0.2447 [6 per cell]
Mg: 0.0000 0.0000 0.0000 [1 per cell]
Mg: 0.0000 0.0000 0.5000 [1 per cell]
Mg: 0.3333 0.6667 0.5678 [2 per cell]
Cd: 0.3333 0.6667 0.9298 [2 per cell]

Run two
Entry from the Alexandria database: a geometry-optimized Li3Mg2Cd structure (PBE-GGA).

Values from the calculation:
- DOS(E_F): 1.70 states/eV/cell
- Calculated density: 2.58 Mg/m³

abc: 3.475 3.475 9.680
angles: 90.00 90.00 90.00
Space group P4/mmm (No. 123)
Inequivalent atoms, fractional coordinates:
Li: 0.000 0.000 0.000 [1 per cell]
Li: 0.000 0.000 0.345 [2 per cell]
Mg: 0.500 0.500 0.172 [2 per cell]
Cd: 0.500 0.500 0.500 [1 per cell]

Order from most stable to least stable according to the calculation: run two, run one

Run one
Entry from the Alexandria database: a geometry-optimized Li12Mg2Cd5 structure (PBE-GGA).

Values from the calculation:
- DOS(E_F): 7.09 states/eV/cell
- Calculated density: 3.16 Mg/m³

abc: 17.433 8.193 5.099
angles: 90.00 90.28 90.00
Space group C2/m (No. 12)
Inequivalent atoms, fractional coordinates:
Li: 0.075 0.000 0.420 [4 per cell]
Li: 0.081 0.500 0.036 [4 per cell]
Li: 0.128 0.299 0.613 [8 per cell]
Li: 0.208 0.322 0.169 [8 per cell]
Mg: 0.000 0.196 0.000 [4 per cell]
Cd: 0.000 0.500 0.500 [2 per cell]
Cd: 0.146 0.000 0.914 [4 per cell]
Cd: 0.240 0.000 0.387 [4 per cell]

Run two
Entry from the Alexandria database: a geometry-optimized Li12Mg2Cd5 structure (PBE-GGA).

Values from the calculation:
- DOS(E_F): 15.77 states/eV/cell
- Calculated density: 3.02 Mg/m³

abc: 14.354 5.645 11.645
angles: 90.00 126.06 90.00
Space group C2/m (No. 12)
Inequivalent atoms, fractional coordinates:
Li: 0.053 0.241 0.296 [8 per cell]
Li: 0.101 0.500 0.134 [4 per cell]
Li: 0.148 0.254 0.968 [8 per cell]
Li: 0.244 0.500 0.713 [4 per cell]
Mg: 0.000 0.249 0.500 [4 per cell]
Cd: 0.000 0.000 0.000 [2 per cell]
Cd: 0.169 0.000 0.774 [4 per cell]
Cd: 0.229 0.000 0.557 [4 per cell]

Order from most stable to least stable according to the calculation: run one, run two

Run one
Entry from the Alexandria database: a geometry-optimized Li3Mg4Cd structure (PBE-GGA).

Values from the calculation:
- DOS(E_F): 5.20 states/eV/cell
- Calculated density: 2.37 Mg/m³

abc: 19.927 3.445 4.855
angles: 90.00 103.86 90.00
Space group C2/m (No. 12)
Inequivalent atoms, fractional coordinates:
Li: 0.000 0.000 0.000 [2 per cell]
Li: 0.118 0.000 0.622 [4 per cell]
Mg: 0.122 0.500 0.127 [4 per cell]
Mg: 0.243 0.500 0.743 [4 per cell]
Cd: 0.000 0.500 0.500 [2 per cell]

Run two
Entry from the Alexandria database: a geometry-optimized Li3Mg4Cd structure (PBE-GGA).

Values from the calculation:
- DOS(E_F): 3.18 states/eV/cell
- Calculated density: 2.36 Mg/m³

abc: 3.451 4.840 9.711
angles: 90.00 90.00 90.00
Space group Pmmm (No. 47)
Inequivalent atoms, fractional coordinates:
Li: 0.000 0.000 0.000 [1 per cell]
Li: 0.000 0.500 0.249 [2 per cell]
Mg: 0.500 0.000 0.245 [2 per cell]
Mg: 0.500 0.500 0.000 [1 per cell]
Mg: 0.500 0.500 0.500 [1 per cell]
Cd: 0.000 0.000 0.500 [1 per cell]

Order from most stable to least stable according to the calculation: run one, run two

Run one
Entry from the Alexandria database: a geometry-optimized LiMg4Cd3 structure (PBE-GGA).

Values from the calculation:
- DOS(E_F): 2.80 states/eV/cell
- Calculated density: 4.26 Mg/m³

abc: 3.177 4.780 11.324
angles: 90.00 90.00 90.00
Space group Pmm2 (No. 25)
Inequivalent atoms, fractional coordinates:
Li: 0.000 0.000 0.000 [1 per cell]
Mg: 0.000 0.000 0.258 [1 per cell]
Mg: 0.000 0.500 0.608 [1 per cell]
Mg: 0.500 0.000 0.770 [1 per cell]
Mg: 0.500 0.500 0.102 [1 per cell]
Cd: 0.000 0.500 0.870 [1 per cell]
Cd: 0.500 0.000 0.511 [1 per cell]
Cd: 0.500 0.500 0.361 [1 per cell]

Run two
Entry from the Alexandria database: a geometry-optimized LiMg4Cd3 structure (PBE-GGA).

Values from the calculation:
- DOS(E_F): 4.05 states/eV/cell
- Calculated density: 4.36 Mg/m³

abc: 6.572 6.596 8.416
angles: 90.00 112.75 90.00
Space group C2/m (No. 12)
Inequivalent atoms, fractional coordinates:
Li: 0.000 0.000 0.000 [2 per cell]
Mg: 0.126 0.250 0.752 [8 per cell]
Cd: 0.000 0.500 0.000 [2 per cell]
Cd: 0.246 0.000 0.492 [4 per cell]

Order from most stable to least stable according to the calculation: run two, run one